DFT (PBE-GGA) results for a relaxed structure of PaCd3Rh4.

As for the total energy: -5.656 eV/atom. The space group is I4/mmm. For the formation enthalpy at 0 K, the calculation gives -0.450 eV/atom.

abc: 4.618 4.618 7.406
angles: 108.18 108.17 90.00
Element x y z (fractional)
Pa  0.500  0.000  0.000
Rh  0.122  0.122  0.244
Rh  0.378  0.378  0.756
Rh  0.622  0.622  0.244
Rh  0.878  0.878  0.756
Cd  0.000  0.500  0.000
Cd  0.245  0.745  0.490
Cd  0.755  0.255  0.510